(1)
# Nd2CoSn3, relaxed, DFT PBE-GGA
# formation enthalpy at 0 K = -0.5172 eV/atom
# SG = Cm, No. 8
# volume = 24.899 A^3/atom
data_Nd2CoSn3
_cell_length_a 4.628
_cell_length_b 6.081
_cell_length_c 6.239
_cell_angle_alpha 75.08
_cell_angle_beta 68.23
_cell_angle_gamma 67.63
_symmetry_space_group_name_H-M 'P 1'
_symmetry_Int_Tables_number 1
loop_
_symmetry_equiv_pos_as_xyz
'x,y,z'
loop_
_atom_site_label
_atom_site_fract_x
_atom_site_fract_y
_atom_site_fract_z
Nd1 0.421 0.841 0.317
Sn1 0.894 0.582 0.630
Nd2 0.550 0.180 0.721
Co1 0.177 0.381 0.265
Sn2 0.793 0.273 0.142
Sn3 0.166 0.742 0.926

---

(2)
# Nd4CoSn, relaxed, DFT PBE-GGA
# formation enthalpy at 0 K = -0.3027 eV/atom
# SG = C2/m, No. 12
# volume = 28.724 A^3/atom
data_Nd4CoSn
_cell_length_a 6.105
_cell_length_b 7.129
_cell_length_c 9.149
_cell_angle_alpha 112.93
_cell_angle_beta 108.33
_cell_angle_gamma 90.00
_symmetry_space_group_name_H-M 'P 1'
_symmetry_Int_Tables_number 1
loop_
_symmetry_equiv_pos_as_xyz
'x,y,z'
loop_
_atom_site_label
_atom_site_fract_x
_atom_site_fract_y
_atom_site_fract_z
Nd1 0.804 0.309 0.618
Nd2 0.196 0.691 0.382
Co1 0.673 0.477 0.953
Co2 0.327 0.523 0.047
Sn1 0.803 0.806 0.613
Nd3 0.615 0.872 0.240
Nd4 0.000 0.766 0.000
Nd5 0.615 0.368 0.240
Nd6 0.385 0.632 0.760
Sn2 0.197 0.194 0.387
Nd7 0.385 0.128 0.760
Nd8 0.000 0.234 0.000